1.
The following is a DFT calculation (PBE-GGA) of crystalline LaTb3Y2 at its relaxed geometry.

Geometry as CIF:
```
data_LaTb3Y2
_cell_length_a 10.913
_cell_length_b 10.983
_cell_length_c 6.635
_cell_angle_alpha 90.00
_cell_angle_beta 90.00
_cell_angle_gamma 90.00
_symmetry_space_group_name_H-M 'C m c m'
_symmetry_Int_Tables_number 63
_symmetry_space_group_name_Hall '-C 2c 2'
loop_
_atom_site_label
_atom_site_type_symbol
_atom_site_fract_x
_atom_site_fract_y
_atom_site_fract_z
La1 La 0.000 0.107 0.250
Tb1 Tb 0.000 0.407 0.250
Tb2 Tb 0.248 0.500 0.000
Y1 Y 0.158 0.252 0.750
```

Results
Total magnetic moment ... 0.0000 μB/atom
Offset from the most stable computed form ... 0.213 eV/atom
Formation energy from the elements ... 0.211 eV/atom
Density of states at the Fermi level ... 8.2 states/eV/f.u.
V ... 33.1 Å³ per atom
Total DFT energy (no corrections) ... -121.9 eV per cell

2.
The following is a DFT calculation (PBE-GGA) of crystalline BaPdBr6 at its relaxed geometry.

Geometry as CIF:
```
data_BaPdBr6
_cell_length_a 10.418
_cell_length_b 8.838
_cell_length_c 8.093
_cell_angle_alpha 90.00
_cell_angle_beta 125.61
_cell_angle_gamma 90.00
_symmetry_space_group_name_H-M 'C 1 2/m 1'
_symmetry_Int_Tables_number 12
loop_
_symmetry_equiv_pos_as_xyz
'x,y,z'
'-x,-y,-z'
'-x,y,-z'
'x,-y,z'
'x+1/2,y+1/2,z'
'-x+1/2,-y+1/2,-z'
'-x+1/2,y+1/2,-z'
'x+1/2,-y+1/2,z'
loop_
_atom_site_label
_atom_site_type_symbol
_atom_site_fract_x
_atom_site_fract_y
_atom_site_fract_z
Ba1 Ba 0.000 0.000 0.000
Pd1 Pd 0.000 0.000 0.500
Br1 Br 0.123 0.203 0.772
Br2 Br 0.240 0.000 0.499
```

Results
Total magnetic moment ... 0.0000 μB/atom
Offset from the most stable computed form ... 0.000 eV/atom
Formation energy without anion corrections ... -0.912 eV/atom
V ... 37.9 Å³ per atom
Total DFT energy (no corrections) ... -48.9 eV per cell

3.
The following is a DFT calculation (PBE-GGA) of crystalline AlSn2Hg2 at its relaxed geometry.

Geometry as CIF:
```
data_AlSn2Hg2
_cell_length_a 7.385
_cell_length_b 7.385
_cell_length_c 4.898
_cell_angle_alpha 90.00
_cell_angle_beta 90.00
_cell_angle_gamma 90.00
_symmetry_space_group_name_H-M 'P 4/m b m'
_symmetry_Int_Tables_number 127
_symmetry_space_group_name_Hall '-P 4 2ab'
loop_
_atom_site_label
_atom_site_type_symbol
_atom_site_fract_x
_atom_site_fract_y
_atom_site_fract_z
Al1 Al 0.000 0.000 0.000
Sn1 Sn 0.145 0.355 0.000
Hg1 Hg 0.167 0.667 0.500
```

Results
Total magnetic moment ... 0.0000 μB/atom
Offset from the most stable computed form ... 0.000 eV/atom
Formation energy from the elements ... 0.184 eV/atom
Density of states at the Fermi level ... 2.7 states/eV/f.u.
V ... 26.7 Å³ per atom
Total DFT energy (no corrections) ... -22.9 eV per cell

- Which value of V does entry 2 give?
  37.9 Å³ per atom

- Look up the total magnetic moment of the second one.
  0.0000 μB/atom

What did the first record say?
The following is a DFT calculation (PBE-GGA) of crystalline LaTb3Y2 at its relaxed geometry.

Geometry as CIF:
```
data_LaTb3Y2
_cell_length_a 10.913
_cell_length_b 10.983
_cell_length_c 6.635
_cell_angle_alpha 90.00
_cell_angle_beta 90.00
_cell_angle_gamma 90.00
_symmetry_space_group_name_H-M 'C m c m'
_symmetry_Int_Tables_number 63
_symmetry_space_group_name_Hall '-C 2c 2'
loop_
_atom_site_label
_atom_site_type_symbol
_atom_site_fract_x
_atom_site_fract_y
_atom_site_fract_z
La1 La 0.000 0.107 0.250
Tb1 Tb 0.000 0.407 0.250
Tb2 Tb 0.248 0.500 0.000
Y1 Y 0.158 0.252 0.750
```

Results
Total magnetic moment ... 0.0000 μB/atom
Offset from the most stable computed form ... 0.213 eV/atom
Formation energy from the elements ... 0.211 eV/atom
Density of states at the Fermi level ... 8.2 states/eV/f.u.
V ... 33.1 Å³ per atom
Total DFT energy (no corrections) ... -121.9 eV per cell

- Which formula does entry 3 have?
  AlSn2Hg2